No. 1
Compound: V2CrSi2
Source: Alexandria
Functional: PBE-GGA
Structure: optimized geometry

Properties
M_tot: 2.096 μB per cell
density: 5.408 g/cm³

The structure in CIF format:
```
data_V2CrSi2
_chemical_formula_sum 'V4 Cr2 Si4'
_space_group_name_H-M_alt 'P 4/m b m'
_space_group_IT_number 127
_space_group_name_Hall '-P 4 2ab'
_cell_length_a 6.2640
_cell_length_b 6.2640
_cell_length_c 3.2871
_cell_angle_alpha 90.00
_cell_angle_beta 90.00
_cell_angle_gamma 90.00
loop_
_atom_site_label
_atom_site_fract_x
_atom_site_fract_y
_atom_site_fract_z
V1 0.1687 0.3313 0.0000
Cr1 0.0000 0.0000 0.5000
Si1 0.1332 0.6332 0.5000
```



No. 2
Compound: VCrSi2
Source: Alexandria
Functional: PBE-GGA
Structure: optimized geometry

Properties
M_tot: 3.629 μB per cell
E above lowest polymorph: 0.209 eV/atom
density: 5.250 g/cm³

The structure in CIF format:
```
data_VCrSi2
_chemical_formula_sum 'V4 Cr4 Si8'
_space_group_name_H-M_alt 'F m -3 m'
_space_group_IT_number 225
_space_group_name_Hall '-F 4 2 3'
_cell_length_a 5.8607
_cell_length_b 5.8607
_cell_length_c 5.8607
_cell_angle_alpha 90.00
_cell_angle_beta 90.00
_cell_angle_gamma 90.00
loop_
_atom_site_label
_atom_site_fract_x
_atom_site_fract_y
_atom_site_fract_z
V1 0.0000 0.0000 0.0000
Cr1 0.0000 0.0000 0.5000
Si1 0.2500 0.2500 0.2500
```



No. 3
Compound: VCrSi2
Source: Alexandria
Functional: PBE-GGA
Structure: optimized geometry

Properties
M_tot: 1.339 μB per cell
E above lowest polymorph: 0.121 eV/atom
density: 5.280 g/cm³

The structure in CIF format:
```
data_VCrSi2
_chemical_formula_sum 'V1 Cr1 Si2'
_space_group_name_H-M_alt 'P 4/m m m'
_space_group_IT_number 123
_space_group_name_Hall '-P 4 2'
_cell_length_a 2.6884
_cell_length_b 2.6884
_cell_length_c 6.9231
_cell_angle_alpha 90.00
_cell_angle_beta 90.00
_cell_angle_gamma 90.00
loop_
_atom_site_label
_atom_site_fract_x
_atom_site_fract_y
_atom_site_fract_z
V1 0.0000 0.0000 0.0000
Cr1 0.0000 0.0000 0.5000
Si1 0.5000 0.5000 0.2646
```



No. 4
Compound: V5Cr2Si
Source: Alexandria
Functional: PBE-GGA
Structure: optimized geometry

Properties
M_tot: 0.000 μB per cell
density: 5.975 g/cm³

The structure in CIF format:
```
data_V5Cr2Si
_chemical_formula_sum 'V20 Cr8 Si4'
_space_group_name_H-M_alt 'I 4/m c m'
_space_group_IT_number 140
_space_group_name_Hall '-I 4 2c'
_cell_length_a 5.9320
_cell_length_b 5.9320
_cell_length_c 12.2188
_cell_angle_alpha 90.00
_cell_angle_beta 90.00
_cell_angle_gamma 90.00
loop_
_atom_site_label
_atom_site_fract_x
_atom_site_fract_y
_atom_site_fract_z
V1 0.0000 0.0000 0.0000
V2 0.1653 0.3347 0.1556
Cr1 0.1519 0.3481 0.5000
Si1 0.0000 0.0000 0.2500
```



No. 5
Compound: VCrSi3
Source: Alexandria
Functional: PBE-GGA
Structure: optimized geometry

Properties
M_tot: 3.842 μB per cell
E above lowest polymorph: 0.000 eV/atom
density: 3.651 g/cm³

The structure in CIF format:
```
data_VCrSi3
_chemical_formula_sum 'V1 Cr1 Si3'
_space_group_name_H-M_alt 'P m -3 m'
_space_group_IT_number 221
_space_group_name_Hall '-P 4 2 3'
_cell_length_a 4.3990
_cell_length_b 4.3990
_cell_length_c 4.3990
_cell_angle_alpha 90.00
_cell_angle_beta 90.00
_cell_angle_gamma 90.00
loop_
_atom_site_label
_atom_site_fract_x
_atom_site_fract_y
_atom_site_fract_z
V1 0.0000 0.0000 0.0000
Cr1 0.5000 0.5000 0.5000
Si1 0.0000 0.5000 0.5000
```



No. 6
Compound: VCrSi4
Source: Alexandria
Functional: PBE-GGA
Structure: optimized geometry

Properties
M_tot: 0.000 μB per cell
E above lowest polymorph: 0.020 eV/atom
density: 4.818 g/cm³

The structure in CIF format:
```
data_VCrSi4
_chemical_formula_sum 'V2 Cr2 Si8'
_space_group_name_H-M_alt 'C 1 2/m 1'
_space_group_IT_number 12
_space_group_name_Hall '-C 2y'
_cell_length_a 8.2773
_cell_length_b 3.0943
_cell_length_c 6.2548
_cell_angle_alpha 90.00
_cell_angle_beta 112.14
_cell_angle_gamma 90.00
loop_
_atom_site_label
_atom_site_fract_x
_atom_site_fract_y
_atom_site_fract_z
V1 0.0000 0.0000 0.0000
Cr1 0.0000 0.0000 0.5000
Si1 0.1631 0.5000 0.3352
Si2 0.1645 0.5000 0.8283
```



No. 7
Compound: V3CrSi
Source: Alexandria
Functional: PBE-GGA
Structure: optimized geometry

Properties
M_tot: 1.333 μB per cell
E above lowest polymorph: 1.115 eV/atom
density: 4.540 g/cm³

The structure in CIF format:
```
data_V3CrSi
_chemical_formula_sum 'V3 Cr1 Si1'
_space_group_name_H-M_alt 'P m -3 m'
_space_group_IT_number 221
_space_group_name_Hall '-P 4 2 3'
_cell_length_a 4.4000
_cell_length_b 4.4000
_cell_length_c 4.4000
_cell_angle_alpha 90.00
_cell_angle_beta 90.00
_cell_angle_gamma 90.00
loop_
_atom_site_label
_atom_site_fract_x
_atom_site_fract_y
_atom_site_fract_z
V1 0.0000 0.0000 0.5000
Cr1 0.5000 0.5000 0.5000
Si1 0.0000 0.0000 0.0000
```



No. 8
Compound: V12CrSi3
Source: Alexandria
Functional: PBE-GGA
Structure: optimized geometry

Properties
M_tot: 0.000 μB per cell
density: 5.967 g/cm³

The structure in CIF format:
```
data_V12CrSi3
_chemical_formula_sum 'V12 Cr1 Si3'
_space_group_name_H-M_alt 'P m m m'
_space_group_IT_number 47
_space_group_name_Hall '-P 2 2'
_cell_length_a 4.6996
_cell_length_b 4.7136
_cell_length_c 9.3912
_cell_angle_alpha 90.00
_cell_angle_beta 90.00
_cell_angle_gamma 90.00
loop_
_atom_site_label
_atom_site_fract_x
_atom_site_fract_y
_atom_site_fract_z
V1 0.0000 0.0000 0.1216
V2 0.0000 0.0000 0.3725
V3 0.2495 0.5000 0.5000
V4 0.2534 0.5000 0.0000
V5 0.5000 0.2465 0.2477
Cr1 0.5000 0.0000 0.0000
Si1 0.0000 0.5000 0.2509
Si2 0.5000 0.0000 0.5000
```



No. 9
Compound: V3CrSi
Source: Alexandria
Functional: PBE-GGA
Structure: optimized geometry

Properties
M_tot: 0.000 μB per cell
E above lowest polymorph: 0.000 eV/atom
density: 6.043 g/cm³

The structure in CIF format:
```
data_V3CrSi
_chemical_formula_sum 'V6 Cr2 Si2'
_space_group_name_H-M_alt 'P -1'
_space_group_IT_number 2
_space_group_name_Hall '-P 1'
_cell_length_a 4.7643
_cell_length_b 4.9161
_cell_length_c 6.4196
_cell_angle_alpha 78.63
_cell_angle_beta 72.22
_cell_angle_gamma 63.69
loop_
_atom_site_label
_atom_site_fract_x
_atom_site_fract_y
_atom_site_fract_z
V1 0.0011 0.1969 0.0973
V2 0.0348 0.3832 0.6942
V3 0.4804 0.1254 0.2965
Cr1 0.0000 0.0000 0.5000
Cr2 0.5000 0.5000 0.5000
Si1 0.4860 0.6972 0.1217
```



No. 10
Compound: V6CrSi
Source: Alexandria
Functional: PBE-GGA
Structure: optimized geometry

Properties
M_tot: 0.000 μB per cell
E above lowest polymorph: 0.040 eV/atom
density: 6.176 g/cm³

The structure in CIF format:
```
data_V6CrSi
_chemical_formula_sum 'V12 Cr2 Si2'
_space_group_name_H-M_alt 'A m m 2'
_space_group_IT_number 38
_space_group_name_Hall 'A 2 -2'
_cell_length_a 4.1838
_cell_length_b 5.9110
_cell_length_c 8.3873
_cell_angle_alpha 90.00
_cell_angle_beta 90.00
_cell_angle_gamma 90.00
loop_
_atom_site_label
_atom_site_fract_x
_atom_site_fract_y
_atom_site_fract_z
V1 0.0000 0.0000 0.0000
V2 0.0000 0.2397 0.2581
V3 0.5000 0.0000 0.2584
V4 0.5000 0.2449 0.5091
Cr1 0.0000 0.0000 0.5177
Si1 0.5000 0.0000 0.7626
```



No. 11
Compound: V2Cr6Si
Source: Alexandria
Functional: PBE-GGA
Structure: optimized geometry

Properties
M_tot: 0.000 μB per cell
density: 6.221 g/cm³

The structure in CIF format:
```
data_V2Cr6Si
_chemical_formula_sum 'V4 Cr12 Si2'
_space_group_name_H-M_alt 'C 1 2/m 1'
_space_group_IT_number 12
_space_group_name_Hall '-C 2y'
_cell_length_a 12.4208
_cell_length_b 4.7344
_cell_length_c 4.2284
_cell_angle_alpha 90.00
_cell_angle_beta 108.39
_cell_angle_gamma 90.00
loop_
_atom_site_label
_atom_site_fract_x
_atom_site_fract_y
_atom_site_fract_z
V1 0.1037 0.0000 0.1021
Cr1 0.0000 0.2513 0.5000
Cr2 0.1961 0.2403 0.6963
Si1 0.0000 0.5000 0.0000
```



No. 12
Compound: V2CrSi
Source: Alexandria
Functional: PBE-GGA
Structure: optimized geometry

Properties
M_tot: 0.001 μB per cell
density: 5.524 g/cm³

The structure in CIF format:
```
data_V2CrSi
_chemical_formula_sum 'V8 Cr4 Si4'
_space_group_name_H-M_alt 'I -4 2 d'
_space_group_IT_number 122
_space_group_name_Hall 'I -4 2bw'
_cell_length_a 6.6024
_cell_length_b 6.6024
_cell_length_c 5.0189
_cell_angle_alpha 90.00
_cell_angle_beta 90.00
_cell_angle_gamma 90.00
loop_
_atom_site_label
_atom_site_fract_x
_atom_site_fract_y
_atom_site_fract_z
V1 0.2252 0.2500 0.1250
Cr1 0.0000 0.0000 0.0000
Si1 0.0000 0.0000 0.5000
```



Number 1: ΔE_f (raw) -1.962 eV per formula unit. Number 2: ΔE_f (raw) -0.335 eV per formula unit. Number 3: ΔE_f (raw) -0.690 eV per formula unit. Number 4: ΔE_f (raw) 0.444 eV per formula unit. Number 5: ΔE_f (raw) 3.309 eV per formula unit. Number 6: ΔE_f (raw) -2.376 eV per formula unit. Number 7: ΔE_f (raw) 4.416 eV per formula unit. Number 8: ΔE_f (raw) -5.785 eV per formula unit. Number 9: ΔE_f (raw) -1.157 eV per formula unit. Number 10: ΔE_f (raw) -1.625 eV per formula unit. Number 11: ΔE_f (raw) 3.546 eV per formula unit. Number 12: ΔE_f (raw) 1.415 eV per formula unit.